Compound: SrLi2Ni
Source: OQMD via LeMat-Bulk
Functional: PBE
Structure: optimized geometry

Results
Mass density   3.202 Mg/m³
Total DFT energy (no corrections)   -0.1899 Ry per atom

Cell: 6.9268 6.9268 6.9268 Å, 90.00 90.00 90.00°
Closest atoms and distances in Å follow each position.
Space group F-43m (No. 216)
Unique sites:
Sr 0.0000 0.0000 0.0000 (multiplicity 4)  4 Li 3.00, 4 Ni 3.00
Li 0.0000 0.0000 0.5000 (multiplicity 4)  4 Li 3.00, 4 Ni 3.00
Li 0.2500 0.2500 0.7500 (multiplicity 4)  4 Li 3.00, 4 Sr 3.00
Ni 0.2500 0.2500 0.2500 (multiplicity 4)  4 Li 3.00, 4 Sr 3.00

=====

Compound: SrLiTaNi
Source: OQMD via LeMat-Bulk
Functional: PBE
Structure: optimized geometry

Results
Mass density   7.247 Mg/m³
Excess energy over the best structure of this formula in the dataset   0.000 eV/atom

Cell: 6.7410 6.7410 6.7410 Å, 90.00 90.00 90.00°
Closest atoms and distances in Å follow each position.
Space group F-43m (No. 216)
Unique sites:
Sr 0.0000 0.0000 0.0000 (multiplicity 4)  4 Ni 2.92, 4 Li 2.92
Li 0.2500 0.2500 0.2500 (multiplicity 4)  4 Sr 2.92, 4 Ta 2.92
Ta 0.0000 0.0000 0.5000 (multiplicity 4)  4 Li 2.92, 4 Ni 2.92
Ni 0.2500 0.2500 0.7500 (multiplicity 4)  4 Ta 2.92, 4 Sr 2.92

=====

Compound: SrLiTaNi
Source: OQMD via LeMat-Bulk
Functional: PBE
Structure: optimized geometry

Results
Mass density   7.682 Mg/m³
Excess energy over the best structure of this formula in the dataset   0.051 eV/atom

Cell: 6.6112 6.6112 6.6112 Å, 90.00 90.00 90.00°
Closest atoms and distances in Å follow each position.
Space group F-43m (No. 216)
Unique sites:
Sr 0.0000 0.0000 0.0000 (multiplicity 4)  4 Ta 2.86, 4 Li 2.86
Li 0.2500 0.2500 0.2500 (multiplicity 4)  4 Ni 2.86, 4 Sr 2.86
Ta 0.2500 0.2500 0.7500 (multiplicity 4)  4 Ni 2.86, 4 Sr 2.86
Ni 0.0000 0.0000 0.5000 (multiplicity 4)  4 Ta 2.86, 4 Li 2.86

=====

Compound: SrLiTaNi
Source: OQMD via LeMat-Bulk
Functional: PBE
Structure: optimized geometry

Results
Mass density   7.051 Mg/m³
Excess energy over the best structure of this formula in the dataset   0.450 eV/atom

Cell: 6.8027 6.8027 6.8027 Å, 90.00 90.00 90.00°
Closest atoms and distances in Å follow each position.
Space group F-43m (No. 216)
Unique sites:
Sr 0.0000 0.0000 0.0000 (multiplicity 4)  4 Ta 2.95, 4 Ni 2.95
Li 0.0000 0.0000 0.5000 (multiplicity 4)  4 Ni 2.95, 4 Ta 2.95
Ta 0.2500 0.2500 0.7500 (multiplicity 4)  4 Li 2.95, 4 Sr 2.95
Ni 0.2500 0.2500 0.2500 (multiplicity 4)  4 Li 2.95, 4 Sr 2.95

=====

Compound: Li2TaNi
Source: OQMD via LeMat-Bulk
Functional: PBE
Structure: optimized geometry

Results
Mass density   8.069 Mg/m³
Total DFT energy (no corrections)   -0.3734 Ry per atom

Cell: 5.9315 5.9315 5.9315 Å, 90.00 90.00 90.00°
Closest atoms and distances in Å follow each position.
Space group F-43m (No. 216)
Unique sites:
Li 0.0000 0.0000 0.0000 (multiplicity 4)  4 Li 2.57, 4 Ni 2.57
Li 0.2500 0.2500 0.2500 (multiplicity 4)  4 Ta 2.57, 4 Li 2.57
Ta 0.0000 0.0000 0.5000 (multiplicity 4)  4 Li 2.57, 4 Ni 2.57
Ni 0.2500 0.2500 0.7500 (multiplicity 4)  4 Ta 2.57, 4 Li 2.57

=====

Compound: Li2Ta2Ni3
Source: OQMD via LeMat-Bulk
Functional: PBE
Structure: optimized geometry

Results
Mass density   9.566 Mg/m³
Total DFT energy (no corrections)   -0.4568 Ry per atom

Cell: 4.1018 4.1018 19.7225 Å, 90.00 90.00 120.00°
Closest atoms and distances in Å follow each position.
Space group R3m (No. 160, hexagonal axes)
Unique sites:
Li 0.0000 0.0000 0.0000 (multiplicity 3)  7 Ni 2.46-2.53
Li 0.0000 0.0000 0.4923 (multiplicity 3)  5 Ni 2.48-2.56
Ta 0.0000 0.0000 0.2381 (multiplicity 3)  7 Ni 2.44-2.57
Ta 0.0000 0.0000 0.7497 (multiplicity 3)  5 Ni 2.46-2.56
Ni 0.0000 0.0000 0.3665 (multiplicity 3)  4 Li 2.46-2.48, 4 Ta 2.53-2.56
Ni 0.0000 0.0000 0.6215 (multiplicity 3)  4 Ta 2.53-2.57, 4 Li 2.53-2.55, 3 Ni 2.83
Ni 0.0000 0.0000 0.8746 (multiplicity 3)  4 Ta 2.44-2.46, 4 Li 2.47-2.56

=====

Compound: LiTaNiTe3
Source: OQMD via LeMat-Bulk
Functional: PBE
Structure: optimized geometry

Results
Mass density   7.847 Mg/m³
Total DFT energy (no corrections)   -0.3818 Ry per atom

Cell: 3.6778 14.1712 10.2213 Å, 90.00 90.00 90.00°
Closest atoms and distances in Å follow each position.
Space group Cmcm (No. 63)
Unique sites:
Li 0.0000 0.2149 0.2500 (multiplicity 4)  4 Te 2.87, 2 Ni 3.20
Ta 0.0000 0.0000 0.0000 (multiplicity 4)  6 Te 2.80-2.87
Ni 0.0000 0.4696 0.7500 (multiplicity 4)  4 Te 2.51-2.54
Te 0.0000 0.0928 0.7500 (multiplicity 4)  2 Ni 2.54
Te 0.0000 0.3576 0.5592 (multiplicity 8)  1 Ni 2.51, 2 Ta 2.80

=====

Compound: LiTaTlNi
Source: OQMD via LeMat-Bulk
Functional: PBE
Structure: optimized geometry

Results
Mass density   11.462 Mg/m³
Excess energy over the best structure of this formula in the dataset   0.359 eV/atom

Cell: 6.3933 6.3933 6.3933 Å, 90.00 90.00 90.00°
Closest atoms and distances in Å follow each position.
Space group F-43m (No. 216)
Unique sites:
Li 0.0000 0.0000 0.0000 (multiplicity 4)  4 Ni 2.77, 4 Ta 2.77
Ta 0.2500 0.2500 0.2500 (multiplicity 4)  4 Tl 2.77, 4 Li 2.77
Tl 0.0000 0.0000 0.5000 (multiplicity 4)  4 Ta 2.77, 4 Ni 2.77
Ni 0.2500 0.2500 0.7500 (multiplicity 4)  4 Tl 2.77, 4 Li 2.77

=====

Compound: LiTaTlNi
Source: OQMD via LeMat-Bulk
Functional: PBE
Structure: optimized geometry

Results
Mass density   12.284 Mg/m³
Excess energy over the best structure of this formula in the dataset   0.000 eV/atom

Cell: 6.2475 6.2475 6.2475 Å, 90.00 90.00 90.00°
Closest atoms and distances in Å follow each position.
Space group F-43m (No. 216)
Unique sites:
Li 0.0000 0.0000 0.0000 (multiplicity 4)  4 Tl 2.71, 4 Ta 2.71
Ta 0.2500 0.2500 0.7500 (multiplicity 4)  4 Li 2.71, 4 Ni 2.71
Tl 0.2500 0.2500 0.2500 (multiplicity 4)  4 Ni 2.71, 4 Li 2.71
Ni 0.0000 0.0000 0.5000 (multiplicity 4)  4 Ta 2.71, 4 Tl 2.71

=====

Compound: LiTaZnNi
Source: OQMD via LeMat-Bulk
Functional: PBE
Structure: optimized geometry

Results
Mass density   9.754 Mg/m³
Excess energy over the best structure of this formula in the dataset   0.332 eV/atom

Cell: 5.9670 5.9670 5.9670 Å, 90.00 90.00 90.00°
Closest atoms and distances in Å follow each position.
Space group F-43m (No. 216)
Unique sites:
Li 0.0000 0.0000 0.0000 (multiplicity 4)  4 Ta 2.58, 4 Ni 2.58
Ta 0.2500 0.2500 0.2500 (multiplicity 4)  4 Li 2.58, 4 Zn 2.58
Zn 0.0000 0.0000 0.5000 (multiplicity 4)  4 Ta 2.58, 4 Ni 2.58
Ni 0.2500 0.2500 0.7500 (multiplicity 4)  4 Li 2.58, 4 Zn 2.58

=====

Compound: LiTaZnNi
Source: OQMD via LeMat-Bulk
Functional: PBE
Structure: optimized geometry

Results
Mass density   9.963 Mg/m³
Excess energy over the best structure of this formula in the dataset   0.000 eV/atom

Cell: 5.9251 5.9251 5.9251 Å, 90.00 90.00 90.00°
Closest atoms and distances in Å follow each position.
Space group F-43m (No. 216)
Unique sites:
Li 0.0000 0.0000 0.0000 (multiplicity 4)  4 Ta 2.57, 4 Zn 2.57
Ta 0.2500 0.2500 0.7500 (multiplicity 4)  4 Li 2.57, 4 Ni 2.57
Zn 0.2500 0.2500 0.2500 (multiplicity 4)  4 Li 2.57, 4 Ni 2.57
Ni 0.0000 0.0000 0.5000 (multiplicity 4)  4 Ta 2.57, 4 Zn 2.57

=====

Compound: LiTaZnNi
Source: OQMD via LeMat-Bulk
Functional: PBE
Structure: optimized geometry

Results
Mass density   9.401 Mg/m³
Excess energy over the best structure of this formula in the dataset   0.106 eV/atom

Cell: 6.0408 6.0408 6.0408 Å, 90.00 90.00 90.00°
Closest atoms and distances in Å follow each position.
Space group F-43m (No. 216)
Unique sites:
Li 0.0000 0.0000 0.0000 (multiplicity 4)  4 Ni 2.62, 4 Zn 2.62
Ta 0.0000 0.0000 0.5000 (multiplicity 4)  4 Ni 2.62, 4 Zn 2.62
Zn 0.2500 0.2500 0.7500 (multiplicity 4)  4 Li 2.62, 4 Ta 2.62
Ni 0.2500 0.2500 0.2500 (multiplicity 4)  4 Ta 2.62, 4 Li 2.62

=====

Compound: LiTbNi4
Source: OQMD via LeMat-Bulk
Functional: PBE
Structure: optimized geometry

Results
Mass density   8.102 Mg/m³
Total DFT energy (no corrections)   -0.3776 Ry per atom

Cell: 6.8995 6.8995 6.8995 Å, 90.00 90.00 90.00°
Closest atoms and distances in Å follow each position.
Space group F-43m (No. 216)
Unique sites:
Li 0.0000 0.0000 0.0000 (multiplicity 4)  12 Ni 2.86, 4 Tb 2.99
Tb 0.2500 0.2500 0.7500 (multiplicity 4)  12 Ni 2.86, 4 Li 2.99
Ni 0.1257 0.1257 0.3743 (multiplicity 16)  6 Ni 2.43-2.45